No. 1
Material: U3Tl3GeSe8
Method: DFT, PBE-GGA
State: optimized geometry

Cell lengths 8.345, 8.346, 9.143 Å; angles 117.16, 90.00, 120.00 degrees
Sites, in units of the cell vectors:
Tl 0.500 0.500 0.000
Tl 0.000 0.500 0.000
Tl 0.000 0.000 0.000
U 0.500 0.000 0.500
U 0.500 0.500 0.500
U 0.000 0.500 0.500
Se 0.767 0.535 0.304
Se 0.735 0.471 0.706
Se 0.233 0.465 0.696
Se 0.731 0.963 0.696
Se 0.233 0.963 0.696
Se 0.269 0.037 0.304
Se 0.265 0.529 0.294
Se 0.767 0.037 0.304
Ge 0.000 0.000 0.500

Summary:
As for the crystal system: trigonal. The formation energy from raw total energies is -0.824 eV per atom.

***

No. 2
Material: UTl2GeSe5
Method: DFT, PBE-GGA
State: optimized geometry

Cell lengths 4.326, 9.621, 13.967 Å; angles 90.00, 90.00, 102.99 degrees
Sites, in units of the cell vectors:
Se 0.659 0.317 0.511
Se 0.690 0.381 0.893
Se 0.310 0.619 0.393
Se 0.701 0.403 0.156
Se 0.500 0.000 0.279
Se 0.299 0.597 0.656
Se 0.500 0.000 0.779
Se 0.047 0.093 0.021
Se 0.341 0.683 0.011
Se 0.953 0.907 0.521
Ge 0.558 0.116 0.927
Ge 0.442 0.884 0.427
Tl 0.879 0.758 0.175
Tl 0.121 0.243 0.332
Tl 0.121 0.242 0.675
Tl 0.879 0.757 0.832
U 0.202 0.404 0.030
U 0.798 0.596 0.530

Summary:
As for the crystal system: orthorhombic. The formation energy from raw total energies is -0.602 eV per atom.

***

No. 3
Material: UTl2GeSe4
Method: DFT, PBE-GGA
State: optimized geometry

Cell lengths 4.180, 7.992, 7.259 Å; angles 73.00, 90.00, 90.00 degrees
Sites, in units of the cell vectors:
Se 0.000 0.697 0.762
Se 0.500 0.299 0.732
Se 0.000 0.303 0.238
Se 0.500 0.701 0.268
Tl 0.000 0.000 0.000
Tl 0.500 0.000 0.500
Ge 0.500 0.500 0.000
U 0.000 0.500 0.500

Summary:
As for the crystal system: monoclinic. The formation energy from raw total energies is -0.661 eV per atom.

***

No. 4
Material: UTl3Ge2Se6
Method: DFT, PBE-GGA
State: optimized geometry

Cell lengths 7.205, 7.205, 7.947 Å; angles 98.64, 98.64, 119.91 degrees
Sites, in units of the cell vectors:
Se 0.935 0.611 0.804
Se 0.065 0.389 0.196
Se 0.389 0.065 0.196
Se 0.611 0.935 0.804
Se 0.256 0.256 0.800
Se 0.744 0.744 0.200
Tl 0.832 0.168 0.500
Tl 0.168 0.832 0.500
Tl 0.500 0.500 0.500
Ge 0.667 0.333 0.000
Ge 0.333 0.667 0.000
U 0.000 0.000 0.000

Summary:
As for the crystal system: monoclinic. The formation energy from raw total energies is -0.582 eV per atom.

***

No. 5
Material: YTlGeSe3
Method: DFT, PBE-GGA
State: optimized geometry

Cell lengths 4.030, 9.423, 9.734 Å; angles 104.03, 90.00, 90.00 degrees
Sites, in units of the cell vectors:
Se 0.250 0.135 0.809
Se 0.250 0.579 0.860
Se 0.250 0.700 0.467
Se 0.750 0.300 0.533
Se 0.750 0.421 0.140
Se 0.750 0.865 0.191
Tl 0.750 0.806 0.781
Tl 0.250 0.194 0.219
Y 0.250 0.641 0.165
Y 0.750 0.359 0.835
Ge 0.750 0.879 0.452
Ge 0.250 0.121 0.548

Summary:
As for the crystal system: monoclinic. The formation energy from raw total energies is -0.989 eV per atom.

***

No. 6
Material: Y3Tl3GeSe8
Method: DFT, PBE-GGA
State: optimized geometry

Cell lengths 8.218, 8.221, 9.127 Å; angles 116.79, 89.98, 119.99 degrees
Sites, in units of the cell vectors:
Tl 0.000 0.500 0.000
Tl 0.500 0.500 0.000
Tl 0.000 0.000 0.000
Ge 0.000 0.000 0.500
Y 0.000 0.500 0.500
Y 0.500 0.000 0.500
Y 0.500 0.500 0.500
Se 0.264 0.529 0.293
Se 0.780 0.026 0.306
Se 0.780 0.561 0.306
Se 0.246 0.026 0.307
Se 0.736 0.471 0.707
Se 0.754 0.974 0.693
Se 0.220 0.439 0.694
Se 0.220 0.974 0.694

Summary:
As for the crystal system: trigonal. The formation energy from raw total energies is -1.094 eV per atom.

***

No. 7
Material: YTlGeSe4
Method: DFT, PBE-GGA
State: optimized geometry

Cell lengths 6.781, 6.998, 8.983 Å; angles 90.00, 107.20, 90.00 degrees
Sites, in units of the cell vectors:
Ge 0.773 0.250 0.676
Ge 0.227 0.750 0.324
Y 0.769 0.750 0.445
Y 0.231 0.250 0.555
Se 0.567 0.250 0.845
Se 0.990 0.490 0.286
Se 0.010 0.510 0.714
Se 0.010 0.990 0.714
Se 0.562 0.250 0.413
Se 0.433 0.750 0.155
Se 0.438 0.750 0.587
Se 0.990 0.010 0.286
Tl 0.244 0.250 0.063
Tl 0.756 0.750 0.937

Summary:
As for the crystal system: monoclinic. The formation energy from raw total energies is -0.885 eV per atom.

***

No. 8
Material: Y4TlGeSe2
Method: DFT, PBE-GGA
State: optimized geometry

Cell lengths 5.935, 5.935, 7.268 Å; angles 114.10, 114.10, 90.00 degrees
Sites, in units of the cell vectors:
Y 0.242 0.242 0.483
Y 0.503 0.003 0.005
Y 0.758 0.758 0.517
Y 0.997 0.497 0.995
Se 0.250 0.750 0.500
Se 0.000 0.000 0.000
Tl 0.500 0.500 0.000
Ge 0.750 0.250 0.500

Summary:
As for the crystal system: tetragonal. The formation energy from raw total energies is -1.189 eV per atom.